(1)
An optimized crystal structure of AgBiAs. Source: the Open Quantum Materials Database, functional PBE.

E: -3.5239 eV/atom

Cell: 4.8960 4.8960 4.8960 Å, 60.00 60.00 60.00°
Last column: nearest neighbours and their distance in Å.
Sites, in units of the cell vectors:
Ag: 0.2500 0.2500 0.2500  4 Bi 3.00
Bi: 0.0000 0.0000 0.0000  4 As 3.00, 4 Ag 3.00
As: 0.7500 0.7500 0.7500  4 Bi 3.00



(2)
An optimized crystal structure of SrZnTc. Source: the Open Quantum Materials Database, functional PBE.

Offset from the most stable computed form: 52.3 kJ per mole of atoms

Cell: 4.9920 4.9920 4.9920 Å, 60.00 60.00 60.00°
Last column: nearest neighbours and their distance in Å.
Sites, in units of the cell vectors:
Sr: 0.0000 0.0000 0.0000  4 Tc 3.06, 4 Zn 3.06
Zn: 0.7500 0.7500 0.7500  4 Sr 3.06
Tc: 0.2500 0.2500 0.2500  4 Sr 3.06



(3)
An optimized crystal structure of ZrO3. Source: the Open Quantum Materials Database, functional PBE.

Offset from the most stable computed form: 67.9 kJ per mole of atoms

Cell: 3.3158 3.3158 3.3158 Å, 90.00 90.00 90.00°
Last column: nearest neighbours and their distance in Å.
Sites, in units of the cell vectors:
O: 0.5000 0.5000 0.0000  8 O 2.34, 4 Zr 2.34
O: 0.5000 0.0000 0.5000  8 O 2.34, 4 Zr 2.34
O: 0.0000 0.5000 0.5000  8 O 2.34, 4 Zr 2.34
Zr: 0.0000 0.0000 0.0000  12 O 2.34